[1]
First-principles (GGA-PBE) data for a relaxed TmCo5P3 crystal, as listed in Alexandria via LeMat-Bulk.

Computed properties:
As for the calculated formation energy: -7.678 eV per formula unit. The calculation puts the calculated density at 8.5 g/cm3. The uncorrected energy is -0.52191 Ry per atom. The total magnetization is 4.72 μB per cell. For the density of states at the Fermi level, the calculation gives 0.65 states/eV per atom. Its energy above the lowest structure with this stoichiometry is 0 meV/atom.

Cell: 11.687 3.626 10.246 Å, 90.00 90.00 90.00°
Space group Pnma (No. 62)
Inequivalent atoms, fractional coordinates:
Tm 0.203 0.250 0.083 (multiplicity 4)
Co 0.008 0.750 0.717 (multiplicity 4)
Co 0.013 0.750 0.093 (multiplicity 4)
Co 0.069 0.750 0.468 (multiplicity 4)
Co 0.176 0.250 0.779 (multiplicity 4)
Co 0.199 0.250 0.383 (multiplicity 4)
P 0.109 0.750 0.899 (multiplicity 4)
P 0.113 0.250 0.582 (multiplicity 4)
P 0.130 0.750 0.270 (multiplicity 4)



[2]
First-principles (GGA-PBE) data for a relaxed TmCo3P3 crystal, as listed in Alexandria via LeMat-Bulk.

Computed properties:
As for the calculated formation energy: -3.571 eV per formula unit. The calculation puts the calculated density at 6.6 g/cm3. The uncorrected energy is -0.47868 Ry per atom. The total magnetization is 0.00 μB per cell. For the density of states at the Fermi level, the calculation gives 0.83 states/eV per atom. Its energy above the lowest structure with this stoichiometry is 246 meV/atom.

Cell: 6.029 6.029 6.029 Å, 90.00 90.00 90.00°
Space group Pm-3n (No. 223)
Inequivalent atoms, fractional coordinates:
Tm 0.000 0.000 0.000 (multiplicity 2)
Co 0.000 0.250 0.500 (multiplicity 6)
P 0.000 0.500 0.250 (multiplicity 6)



[3]
First-principles (GGA-PBE) data for a relaxed Tm2Co3P4 crystal, as listed in Alexandria via LeMat-Bulk.

Computed properties:
As for the calculated formation energy: -7.132 eV per formula unit. The calculation puts the calculated density at 7.8 g/cm3. The uncorrected energy is -0.48209 Ry per atom. The total magnetization is 5.42 μB per cell. For the density of states at the Fermi level, the calculation gives 0.56 states/eV per atom.

Cell: 5.146 9.160 11.473 Å, 90.00 90.00 90.00°
Space group Fmmm (No. 69)
Inequivalent atoms, fractional coordinates:
Tm 0.000 0.000 0.144 (multiplicity 8)
Co 0.000 0.000 0.500 (multiplicity 4)
Co 0.250 0.250 0.000 (multiplicity 8)
P 0.000 0.159 0.355 (multiplicity 16)



[4]
First-principles (GGA-PBE) data for a relaxed TmCo5P2 crystal, as listed in Alexandria via LeMat-Bulk.

Computed properties:
As for the calculated formation energy: -5.228 eV per formula unit. The calculation puts the calculated density at 8.8 g/cm3. The uncorrected energy is -0.51494 Ry per atom. The total magnetization is 0.00 μB per cell. For the density of states at the Fermi level, the calculation gives 1.11 states/eV per atom.

Cell: 3.549 6.379 8.757 Å, 90.00 90.00 90.00°
Space group Immm (No. 71)
Inequivalent atoms, fractional coordinates:
Tm 0.000 0.000 0.000 (multiplicity 2)
Co 0.000 0.192 0.351 (multiplicity 8)
Co 0.000 0.500 0.000 (multiplicity 2)
P 0.000 0.500 0.245 (multiplicity 4)



[5]
First-principles (GGA-PBE) data for a relaxed Tm2Co5P4 crystal, as listed in Alexandria via LeMat-Bulk.

Computed properties:
As for the calculated formation energy: -9.066 eV per formula unit. The calculation puts the calculated density at 8.3 g/cm3. The uncorrected energy is -0.50231 Ry per atom. The total magnetization is 0.00 μB per cell. For the density of states at the Fermi level, the calculation gives 0.56 states/eV per atom.

Cell: 5.086 9.075 13.073 Å, 90.00 90.00 90.00°
Space group Fmmm (No. 69)
Inequivalent atoms, fractional coordinates:
Tm 0.000 0.000 0.136 (multiplicity 8)
Co 0.000 0.000 0.500 (multiplicity 4)
Co 0.250 0.250 0.000 (multiplicity 8)
Co 0.250 0.250 0.250 (multiplicity 8)
P 0.000 0.157 0.370 (multiplicity 16)



[6]
First-principles (GGA-PBE) data for a relaxed Tm5Co19P12 crystal, as listed in Alexandria via LeMat-Bulk.

Computed properties:
As for the calculated formation energy: -32.497 eV per formula unit. The calculation puts the calculated density at 8.6 g/cm3. The uncorrected energy is -0.52018 Ry per atom. The total magnetization is 6.87 μB per cell. For the density of states at the Fermi level, the calculation gives 0.54 states/eV per atom.

Cell: 11.9357 11.9357 3.6489 Å, 90.00 90.00 120.00°
Space group P-62m (No. 189)
Inequivalent atoms, fractional coordinates:
Tm 0.0000 0.8134 0.0000 (multiplicity 3)
Tm 0.3333 0.6667 0.5000 (multiplicity 2)
Co 0.0000 0.0000 0.5000 (multiplicity 1)
Co 0.0000 0.2849 0.0000 (multiplicity 3)
Co 0.0000 0.4480 0.5000 (multiplicity 3)
Co 0.1259 0.6420 0.0000 (multiplicity 6)
Co 0.1782 0.3773 0.5000 (multiplicity 6)
P 0.0000 0.1800 0.5000 (multiplicity 3)
P 0.0000 0.6331 0.5000 (multiplicity 3)
P 0.1661 0.4808 0.0000 (multiplicity 6)



- Which of these has the highest total magnetization?
  Tm5Co19P12